[1]
VASP calculation (PBE) on an optimized crystal structure of KBa2SmTe4.

Unit cell a=8.287 b=4.827 c=8.480 alpha=90.00 beta=108.63 gamma=90.00
Sites, in units of the cell vectors:
K1 0.000 0.000 0.000
Ba1 0.500 0.000 0.500
Ba2 0.500 0.500 0.000
Sm1 0.000 0.500 0.500
Te1 0.224 0.000 0.727
Te2 0.235 0.500 0.267
Te3 0.765 0.500 0.733
Te4 0.776 0.000 0.273

Computed properties:
The mass density comes out at 5.035 g cm⁻³. The value obtained for the uncorrected formation energy is -1.528 eV per atom.



[2]
VASP calculation (PBE) on an optimized crystal structure of KBa2Sn2.

Unit cell a=10.579 b=10.579 c=3.668 alpha=90.00 beta=90.00 gamma=90.00
Sites, in units of the cell vectors:
K1 0.000 0.000 0.000
K2 0.500 0.500 0.000
Ba1 0.126 0.374 0.000
Ba2 0.374 0.874 0.000
Ba3 0.626 0.126 0.000
Ba4 0.874 0.626 0.000
Sn1 0.171 0.671 0.500
Sn2 0.329 0.171 0.500
Sn3 0.671 0.829 0.500
Sn4 0.829 0.329 0.500

Computed properties:
The mass density comes out at 4.458 g cm⁻³. The excess energy over the best structure of this formula in the dataset is 1.50 kcal/mol of atoms. The calculated formation energy comes out at -401 meV/atom.



> Number 2 is which compound?

KBa2Sn2



Please write out number 1 again, unchanged.
VASP calculation (PBE) on an optimized crystal structure of KBa2SmTe4.

Unit cell a=8.287 b=4.827 c=8.480 alpha=90.00 beta=108.63 gamma=90.00
Sites, in units of the cell vectors:
K1 0.000 0.000 0.000
Ba1 0.500 0.000 0.500
Ba2 0.500 0.500 0.000
Sm1 0.000 0.500 0.500
Te1 0.224 0.000 0.727
Te2 0.235 0.500 0.267
Te3 0.765 0.500 0.733
Te4 0.776 0.000 0.273

Computed properties:
The mass density comes out at 5.035 g cm⁻³. The value obtained for the uncorrected formation energy is -1.528 eV per atom.



> mass density of number 2 (KBa2Sn2)?

4.458 g cm⁻³